1.
{
  "formula": "HoGaCuAg",
  "functional": "GGA-PBE",
  "state": "optimized geometry",
  "n_ef_per_ev_atom": 0.66,
  "vol_a3_per_atom": 18.30,
  "formation_enthalpy_0k_mev_per_atom": -297,
  "lattice": [[0.0000, 3.3199, 3.3199], [3.3199, 0.0000, 3.3199], [3.3199, 3.3199, 0.0000]],
  "species": ["Ho", "Ga", "Cu", "Ag"],
  "fractional_positions": [[0.0000, 0.0000, 0.0000], [0.5000, 0.5000, 0.5000], [0.7500, 0.7500, 0.7500], [0.2500, 0.2500, 0.2500]]
}



2.
{
  "formula": "Ca2SnBH",
  "functional": "GGA-PBE",
  "state": "optimized geometry",
  "n_ef_per_ev_atom": 0.69,
  "vol_a3_per_atom": 29.77,
  "energy_ev_per_cell": -14.30,
  "lattice": [[5.9189, 0.0000, 0.0000], [0.0000, 5.9189, 0.0000], [0.0000, 0.0000, 4.2488]],
  "species": ["Ca", "Ca", "Sn", "B", "H"],
  "fractional_positions": [[0.0000, 0.5000, 0.0000], [0.5000, 0.0000, 0.0000], [0.0000, 0.0000, 0.0000], [0.0000, 0.0000, 0.5000], [0.5000, 0.5000, 0.5000]]
}



3.
{
  "formula": "NaDyTi2O6",
  "functional": "GGA-PBE",
  "state": "optimized geometry",
  "raw_formation_energy_mev_per_atom": -3024,
  "n_ef_per_ev_atom": 0.00,
  "vol_a3_per_atom": 11.29,
  "lattice": [[7.6212, 0.0000, 0.0000], [0.0000, 5.5470, 0.0000], [0.0000, 0.0000, 5.3427]],
  "species": ["Na", "Na", "Dy", "Dy", "Ti", "Ti", "Ti", "Ti", "O", "O", "O", "O", "O", "O", "O", "O", "O", "O", "O", "O"],
  "fractional_positions": [[0.0000, 0.2188, 0.0000], [0.5000, 0.7812, 0.5000], [0.0000, 0.6777, 0.5185], [0.5000, 0.3223, 0.0185], [0.2468, 0.2332, 0.5178], [0.2532, 0.7668, 0.0178], [0.7468, 0.7668, 0.0178], [0.7532, 0.2332, 0.5178], [0.0000, 0.2740, 0.4237], [0.0000, 0.7755, 0.1020], [0.1978, 0.9438, 0.6914], [0.2099, 0.4609, 0.7796], [0.2901, 0.5391, 0.2796], [0.3022, 0.0562, 0.1914], [0.5000, 0.2245, 0.6020], [0.5000, 0.7260, 0.9237], [0.6978, 0.0562, 0.1914], [0.7099, 0.5391, 0.2796], [0.7901, 0.4609, 0.7796], [0.8022, 0.9438, 0.6914]]
}



4.
{
  "formula": "ZnWS3",
  "functional": "GGA-PBE",
  "state": "optimized geometry",
  "raw_formation_energy_mev_per_atom": 1136,
  "n_ef_per_ev_atom": 0.47,
  "vol_a3_per_atom": 18.74,
  "lattice": [[4.5421, 0.0000, 0.0000], [0.0000, 4.5421, 0.0000], [0.0000, 0.0000, 4.5421]],
  "species": ["Zn", "W", "S", "S", "S"],
  "fractional_positions": [[0.0000, 0.0000, 0.0000], [0.5000, 0.5000, 0.5000], [0.0000, 0.0000, 0.5000], [0.0000, 0.5000, 0.0000], [0.5000, 0.0000, 0.0000]]
}



5.
{
  "formula": "AcTl4Hg2",
  "functional": "GGA-PBE",
  "state": "optimized geometry",
  "n_ef_per_ev_atom": 0.66,
  "vol_a3_per_atom": 30.78,
  "formation_enthalpy_0k_mev_per_atom": -90,
  "lattice": [[9.3735, 0.0000, 0.0000], [0.0000, 9.3735, 0.0000], [0.0000, 0.0000, 4.9050]],
  "species": ["Ac", "Ac", "Tl", "Tl", "Tl", "Tl", "Tl", "Tl", "Tl", "Tl", "Hg", "Hg", "Hg", "Hg"],
  "fractional_positions": [[0.0000, 0.0000, 0.0000], [0.5000, 0.5000, 0.5000], [0.0994, 0.3447, 0.5000], [0.1553, 0.5994, 0.0000], [0.3447, 0.0994, 0.5000], [0.4006, 0.8447, 0.0000], [0.5994, 0.1553, 0.0000], [0.6553, 0.9006, 0.5000], [0.8447, 0.4006, 0.0000], [0.9006, 0.6553, 0.5000], [0.1841, 0.8159, 0.5000], [0.3159, 0.3159, 0.0000], [0.6841, 0.6841, 0.0000], [0.8159, 0.1841, 0.5000]]
}



6.
{
  "formula": "RuWCl2",
  "functional": "GGA-PBE",
  "state": "optimized geometry",
  "raw_formation_energy_mev_per_atom": 871,
  "n_ef_per_ev_atom": 0.68,
  "vol_a3_per_atom": 15.94,
  "lattice": [[-2.5035, 2.5035, 2.5439], [2.5035, -2.5035, 2.5439], [2.5035, 2.5035, -2.5439]],
  "species": ["Ru", "W", "Cl", "Cl"],
  "fractional_positions": [[0.0000, 0.0000, 0.0000], [0.7500, 0.2500, 0.5000], [0.2500, 0.7500, 0.5000], [0.5000, 0.5000, 0.0000]]
}



7.
{
  "formula": "ErTmPS",
  "functional": "GGA-PBE",
  "state": "optimized geometry",
  "raw_formation_energy_mev_per_atom": -1846,
  "n_ef_per_ev_atom": 0.38,
  "vol_a3_per_atom": 21.17,
  "lattice": [[1.9542, 1.1282, 6.4024], [-1.9542, 1.1282, 6.4024], [0.0000, -2.2565, 6.4024]],
  "species": ["Er", "Tm", "P", "S"],
  "fractional_positions": [[0.0000, 0.0000, 0.0000], [0.5063, 0.5063, 0.5063], [0.2526, 0.2526, 0.2526], [0.7537, 0.7537, 0.7537]]
}



8.
{
  "formula": "CaZn2Cu",
  "functional": "GGA-PBE",
  "state": "optimized geometry",
  "n_ef_per_ev_atom": 0.40,
  "vol_a3_per_atom": 20.14,
  "formation_enthalpy_0k_mev_per_atom": -189,
  "lattice": [[3.7118, -2.1448, 0.0000], [3.7118, 2.1448, 0.0000], [-2.4978, 0.0000, 5.0595]],
  "species": ["Ca", "Zn", "Zn", "Cu"],
  "fractional_positions": [[0.0000, 0.0000, 0.0000], [0.1994, 0.1994, 0.5981], [0.8006, 0.8006, 0.4019], [0.5000, 0.5000, 0.5000]]
}



9.
{
  "formula": "LiLuZnAu",
  "functional": "GGA-PBE",
  "state": "optimized geometry",
  "n_ef_per_ev_atom": 0.84,
  "vol_a3_per_atom": 18.90,
  "formation_enthalpy_0k_mev_per_atom": -469,
  "lattice": [[0.0000, 3.3560, 3.3560], [3.3560, 0.0000, 3.3560], [3.3560, 3.3560, 0.0000]],
  "species": ["Li", "Lu", "Zn", "Au"],
  "fractional_positions": [[0.0000, 0.0000, 0.0000], [0.5000, 0.5000, 0.5000], [0.2500, 0.2500, 0.2500], [0.7500, 0.7500, 0.7500]]
}



10.
{
  "formula": "La4Ga",
  "functional": "GGA-PBE",
  "state": "optimized geometry",
  "n_ef_per_ev_atom": 1.57,
  "vol_a3_per_atom": 33.63,
  "formation_enthalpy_0k_mev_per_atom": -123,
  "lattice": [[3.5657, -9.0978, 0.0000], [3.5657, 9.0978, 0.0000], [-3.4916, 0.0000, 5.1836]],
  "species": ["La", "La", "La", "La", "La", "La", "La", "La", "Ga", "Ga"],
  "fractional_positions": [[0.0693, 0.4853, 0.7698], [0.1296, 0.2796, 0.1520], [0.2796, 0.1296, 0.6520], [0.4853, 0.0693, 0.2698], [0.5147, 0.9307, 0.7302], [0.7204, 0.8704, 0.3480], [0.8704, 0.7204, 0.8480], [0.9307, 0.5147, 0.2302], [0.4381, 0.5619, 0.7500], [0.5619, 0.4381, 0.2500]]
}